Record 1
A plane-wave DFT calculation with PBE was carried out for a geometry-optimized LaY2Se structure.

Mass density (g cm⁻³): 5.811
ΔE_f (raw) (eV per atom): -0.43
Fermi-level density of states (states/eV/f.u.): 4.0

a = 4.584 Å, b = 4.584 Å, c = 10.763 Å
α = 90.00°, β = 90.00°, γ = 90.00°
Space group I4/mmm (No. 139)
Symmetry-distinct sites (fractional):
La  0.000  0.000  0.000 x2
Y  0.000  0.500  0.250 x4
Se  0.000  0.000  0.500 x2

=====

Record 2
A plane-wave DFT calculation with PBE was carried out for a geometry-optimized LaYSe2 structure.

Mass density (g cm⁻³): 3.959
ΔE_f (raw) (eV per atom): -1.20
Fermi-level density of states (states/eV/f.u.): 1.8

a = 4.4003 Å, b = 4.4003 Å, c = 28.9474 Å
α = 90.00°, β = 90.00°, γ = 120.00°
Space group R3m (No. 160, hexagonal axes)
Symmetry-distinct sites (fractional):
La  0.0000  0.0000  0.0000 x3
Y  0.0000  0.0000  0.2129 x3
Se  0.0000  0.0000  0.5089 x3
Se  0.0000  0.0000  0.7122 x3

=====

Record 3
A plane-wave DFT calculation with PBE was carried out for a geometry-optimized La4YSe5 structure.

Mass density (g cm⁻³): 6.271
ΔE_f (raw) (eV per atom): -1.95
Fermi-level density of states (states/eV/f.u.): 5.9

a = 9.536 Å, b = 9.536 Å, c = 6.053 Å
α = 90.00°, β = 90.00°, γ = 90.00°
Space group I4/m (No. 87)
Symmetry-distinct sites (fractional):
La  0.097  0.302  0.000 x8
Y  0.000  0.000  0.500 x2
Se  0.000  0.000  0.000 x2
Se  0.099  0.290  0.500 x8

=====

Record 4
A plane-wave DFT calculation with PBE was carried out for a geometry-optimized LaYSe2 structure.

Mass density (g cm⁻³): 5.609
ΔE_f (raw) (eV per atom): -1.43
Fermi-level density of states (states/eV/f.u.): 3.1

a = 4.126 Å, b = 4.126 Å, c = 13.413 Å
α = 90.00°, β = 90.00°, γ = 90.00°
Space group I-4m2 (No. 119)
Symmetry-distinct sites (fractional):
La  0.000  0.000  0.000 x2
Y  0.000  0.500  0.750 x2
Se  0.000  0.000  0.500 x2
Se  0.000  0.500  0.250 x2

=====

Record 5
A plane-wave DFT calculation with PBE was carried out for a geometry-optimized LaY2Se structure.

Mass density (g cm⁻³): 5.763
ΔE_f (raw) (eV per atom): -0.69
Fermi-level density of states (states/eV/f.u.): 5.4

a = 3.630 Å, b = 3.630 Å, c = 8.652 Å
α = 90.00°, β = 90.00°, γ = 90.00°
Space group P4/mmm (No. 123)
Symmetry-distinct sites (fractional):
La  0.000  0.000  0.000 x1
Y  0.500  0.500  0.297 x2
Se  0.000  0.000  0.500 x1

=====

Record 6
A plane-wave DFT calculation with PBE was carried out for a geometry-optimized LaY2Se structure.

Mass density (g cm⁻³): 5.981
ΔE_f (raw) (eV per atom): -0.42
Fermi-level density of states (states/eV/f.u.): 4.8

a = 4.621 Å, b = 4.621 Å, c = 5.144 Å
α = 90.00°, β = 90.00°, γ = 90.00°
Space group P4/mmm (No. 123)
Symmetry-distinct sites (fractional):
La  0.000  0.000  0.000 x1
Y  0.000  0.500  0.500 x2
Se  0.500  0.500  0.000 x1

=====

Record 7
A plane-wave DFT calculation with PBE was carried out for a geometry-optimized LaY2Se structure.

Mass density (g cm⁻³): 5.440
ΔE_f (raw) (eV per atom): -0.57
Fermi-level density of states (states/eV/f.u.): 4.3

a = 4.058 Å, b = 4.858 Å, c = 6.435 Å
α = 90.00°, β = 107.83°, γ = 90.00°
Space group P2/m (No. 10)
Symmetry-distinct sites (fractional):
La  0.000  0.000  0.000 x1
Y  0.350  0.500  0.720 x2
Se  0.000  0.000  0.500 x1

=====

Record 8
A plane-wave DFT calculation with PBE was carried out for a geometry-optimized LaYSe2 structure.

Mass density (g cm⁻³): 6.070
ΔE_f (raw) (eV per atom): -1.85
Fermi-level density of states (states/eV/f.u.): 2.3

a = 4.211 Å, b = 4.211 Å, c = 5.952 Å
α = 90.00°, β = 90.00°, γ = 90.00°
Space group P4/mmm (No. 123)
Symmetry-distinct sites (fractional):
La  0.000  0.000  0.000 x1
Y  0.500  0.500  0.500 x1
Se  0.000  0.000  0.500 x1
Se  0.500  0.500  0.000 x1

=====

Record 9
A plane-wave DFT calculation with PBE was carried out for a geometry-optimized LaYSe2 structure.

Mass density (g cm⁻³): 6.473
ΔE_f (raw) (eV per atom): -0.60
Fermi-level density of states (states/eV/f.u.): 3.8

a = 7.342 Å, b = 7.342 Å, c = 7.342 Å
α = 90.00°, β = 90.00°, γ = 90.00°
Space group F-43m (No. 216)
Symmetry-distinct sites (fractional):
La  0.000  0.000  0.000 x4
Y  0.250  0.250  0.250 x4
Se  0.000  0.000  0.500 x4
Se  0.250  0.250  0.750 x4

=====

Record 10
A plane-wave DFT calculation with PBE was carried out for a geometry-optimized La4YSe6 structure.

Mass density (g cm⁻³): 6.162
ΔE_f (raw) (eV per atom): -1.89
Fermi-level density of states (states/eV/f.u.): 6.6

a = 12.0145 Å, b = 12.0145 Å, c = 14.4631 Å
α = 90.00°, β = 90.00°, γ = 120.00°
Space group R-3c (No. 167, hexagonal axes)
Symmetry-distinct sites (fractional):
La  0.0000  0.0000  0.2500 x6
La  0.0000  0.3825  0.2500 x18
Y  0.0000  0.0000  0.0000 x6
Se  0.0298  0.2033  0.3872 x36

=====

Record 11
A plane-wave DFT calculation with PBE was carried out for a geometry-optimized La4YSe structure.

Mass density (g cm⁻³): 5.975
ΔE_f (raw) (eV per atom): 0.13
Fermi-level density of states (states/eV/f.u.): 8.0

a = 9.299 Å, b = 9.299 Å, c = 9.299 Å
α = 90.00°, β = 90.00°, γ = 90.00°
Space group F-43m (No. 216)
Symmetry-distinct sites (fractional):
La  0.122  0.122  0.378 x16
Y  0.250  0.250  0.750 x4
Se  0.000  0.000  0.000 x4

=====

Record 12
A plane-wave DFT calculation with PBE was carried out for a geometry-optimized LaY2Se structure.

Mass density (g cm⁻³): 5.772
ΔE_f (raw) (eV per atom): -0.49
Fermi-level density of states (states/eV/f.u.): 5.0

a = 3.716 Å, b = 5.416 Å, c = 5.656 Å
α = 90.00°, β = 90.00°, γ = 90.00°
Space group Pmmm (No. 47)
Symmetry-distinct sites (fractional):
La  0.000  0.000  0.000 x1
Y  0.000  0.500  0.500 x1
Y  0.500  0.500  0.000 x1
Se  0.500  0.000  0.500 x1